YZnNO2: optimized geometry, PBE.

D(E_F)	2.29	states/eV/cell
space-group type	P4/mmm (123)
energy relative to the elements, uncorrected	-1.00	eV per atom
VASP energy	-0.4556	Ry per atom

The structure in CIF format:
```
data_YZnNO2
_cell_length_a 3.896
_cell_length_b 3.896
_cell_length_c 3.838
_cell_angle_alpha 90.00
_cell_angle_beta 90.00
_cell_angle_gamma 90.00
_symmetry_space_group_name_H-M 'P 1'
_symmetry_Int_Tables_number 1
_symmetry_space_group_name_Hall 'P 1'
loop_
_atom_site_label
_atom_site_type_symbol
_atom_site_fract_x
_atom_site_fract_y
_atom_site_fract_z
_atom_site_occupancy
Y1 Y 0.000 0.000 0.000 1
Zn1 Zn 0.500 0.500 0.500 1
N1 N 0.500 0.500 0.000 1
O1 O 0.000 0.500 0.500 1
O2 O 0.500 0.000 0.500 1
```



CaInSi2: optimized geometry, PBE.

D(E_F)	1.89	states/eV/cell
space-group type	F-43m (216)
energy relative to the elements, uncorrected	0.22	eV per atom
VASP energy	-0.2705	Ry per atom

The structure in CIF format:
```
data_CaInSi2
_cell_length_a 4.999
_cell_length_b 4.999
_cell_length_c 4.999
_cell_angle_alpha 60.00
_cell_angle_beta 60.00
_cell_angle_gamma 60.00
_symmetry_space_group_name_H-M 'P 1'
_symmetry_Int_Tables_number 1
_symmetry_space_group_name_Hall 'P 1'
loop_
_atom_site_label
_atom_site_type_symbol
_atom_site_fract_x
_atom_site_fract_y
_atom_site_fract_z
_atom_site_occupancy
Ca1 Ca 0.000 0.000 0.000 1
In1 In 0.250 0.250 0.250 1
Si1 Si 0.500 0.500 0.500 1
Si2 Si 0.750 0.750 0.750 1
```



LiAcZn: optimized geometry, PBE.

D(E_F)	5.73	states/eV/cell
space-group type	C2 (5)
VASP energy	-0.1822	Ry per atom

The structure in CIF format:
```
data_LiAcZn
_cell_length_a 3.707
_cell_length_b 3.707
_cell_length_c 11.423
_cell_angle_alpha 90.05
_cell_angle_beta 90.05
_cell_angle_gamma 90.01
_symmetry_space_group_name_H-M 'P 1'
_symmetry_Int_Tables_number 1
_symmetry_space_group_name_Hall 'P 1'
loop_
_atom_site_label
_atom_site_type_symbol
_atom_site_fract_x
_atom_site_fract_y
_atom_site_fract_z
_atom_site_occupancy
Li1 Li 0.250 0.250 0.067 1
Li2 Li 0.750 0.750 0.933 1
Ac1 Ac 0.249 0.250 0.367 1
Ac2 Ac 0.750 0.751 0.633 1
Zn1 Zn 0.250 0.252 0.816 1
Zn2 Zn 0.748 0.750 0.184 1
```